1.
# Sc5Cl8 PBE-GGA optimized geometry
# Energy relative to the elements, uncorrected = -1777 meV per atom
# DOS at the Fermi energy = 4.355 states/eV/f.u.
data_Sc5Cl8
_chemical_formula_sum 'Sc10 Cl16'
_symmetry_space_group_name_H-M 'C 1 2/m 1'
_symmetry_Int_Tables_number 12
_symmetry_space_group_name_Hall '-C 2y'
_cell_length_a 19.354
_cell_length_b 3.556
_cell_length_c 13.460
_cell_angle_alpha 90.00
_cell_angle_beta 132.30
_cell_angle_gamma 90.00
loop_
_atom_site_label
_atom_site_fract_x
_atom_site_fract_y
_atom_site_fract_z
Sc1 0.000 0.000 0.000
Sc2 0.013 0.500 0.347
Sc3 0.108 0.000 0.614
Cl1 0.025 0.000 0.217
Cl2 0.123 0.500 0.100
Cl3 0.161 0.500 0.797
Cl4 0.181 0.500 0.565

=====

2.
# Sc3Cl PBE-GGA optimized geometry
# Energy relative to the elements, uncorrected = -172 meV per atom
# DOS at the Fermi energy = 5.120 states/eV/f.u.
data_Sc3Cl
_chemical_formula_sum 'Sc3 Cl1'
_symmetry_space_group_name_H-M 'P 4/m m m'
_symmetry_Int_Tables_number 123
_symmetry_space_group_name_Hall '-P 4 2'
_cell_length_a 5.325
_cell_length_b 5.325
_cell_length_c 3.238
_cell_angle_alpha 90.00
_cell_angle_beta 90.00
_cell_angle_gamma 90.00
loop_
_atom_site_label
_atom_site_fract_x
_atom_site_fract_y
_atom_site_fract_z
Sc1 0.000 0.000 0.000
Sc2 0.000 0.500 0.500
Cl1 0.500 0.500 0.000

=====

3.
# Sc4Cl3 PBE-GGA optimized geometry
# Energy relative to the elements, uncorrected = -1014 meV per atom
# DOS at the Fermi energy = 4.298 states/eV/f.u.
# Energy above the most stable polymorph in this dataset = 0.0 meV/atom
data_Sc4Cl3
_chemical_formula_sum 'Sc8 Cl6'
_symmetry_space_group_name_H-M 'I 4/m m m'
_symmetry_Int_Tables_number 139
_symmetry_space_group_name_Hall '-I 4 2'
_cell_length_a 3.343
_cell_length_b 3.343
_cell_length_c 28.468
_cell_angle_alpha 90.00
_cell_angle_beta 90.00
_cell_angle_gamma 90.00
loop_
_atom_site_label
_atom_site_fract_x
_atom_site_fract_y
_atom_site_fract_z
Sc1 0.000 0.000 0.068
Sc2 0.000 0.000 0.357
Cl1 0.000 0.000 0.190
Cl2 0.000 0.000 0.500

=====

4.
# ScCl3 PBE-GGA optimized geometry
# Energy relative to the elements, uncorrected = -1184 meV per atom
# DOS at the Fermi energy = 0.000 states/eV/f.u.
data_ScCl3
_chemical_formula_sum 'Sc4 Cl12'
_symmetry_space_group_name_H-M 'F m -3 m'
_symmetry_Int_Tables_number 225
_symmetry_space_group_name_Hall '-F 4 2 3'
_cell_length_a 6.740
_cell_length_b 6.740
_cell_length_c 6.740
_cell_angle_alpha 90.00
_cell_angle_beta 90.00
_cell_angle_gamma 90.00
loop_
_atom_site_label
_atom_site_fract_x
_atom_site_fract_y
_atom_site_fract_z
Sc1 0.000 0.000 0.000
Cl1 0.000 0.000 0.500
Cl2 0.250 0.250 0.250

=====

5.
# Sc3Cl PBE-GGA optimized geometry
# Energy relative to the elements, uncorrected = -273 meV per atom
# DOS at the Fermi energy = 5.062 states/eV/f.u.
data_Sc3Cl
_chemical_formula_sum 'Sc3 Cl1'
_symmetry_space_group_name_H-M 'P m m 2'
_symmetry_Int_Tables_number 25
_symmetry_space_group_name_Hall 'P 2 -2'
_cell_length_a 3.293
_cell_length_b 5.347
_cell_length_c 5.704
_cell_angle_alpha 90.00
_cell_angle_beta 90.00
_cell_angle_gamma 90.00
loop_
_atom_site_label
_atom_site_fract_x
_atom_site_fract_y
_atom_site_fract_z
Sc1 0.000 0.000 0.000
Sc2 0.000 0.500 0.283
Sc3 0.500 0.500 0.820
Cl1 0.500 0.000 0.659

=====

6.
# Sc2Cl PBE-GGA optimized geometry
# Energy relative to the elements, uncorrected = -615 meV per atom
# DOS at the Fermi energy = 3.320 states/eV/f.u.
data_Sc2Cl
_chemical_formula_sum 'Sc8 Cl4'
_symmetry_space_group_name_H-M 'C 1 m 1'
_symmetry_Int_Tables_number 8
_symmetry_space_group_name_Hall 'C -2y'
_cell_length_a 11.561
_cell_length_b 3.315
_cell_length_c 6.968
_cell_angle_alpha 90.00
_cell_angle_beta 96.96
_cell_angle_gamma 90.00
loop_
_atom_site_label
_atom_site_fract_x
_atom_site_fract_y
_atom_site_fract_z
Sc1 0.000 0.000 0.000
Sc2 0.051 0.000 0.518
Sc3 0.217 0.500 0.850
Sc4 0.322 0.000 0.223
Cl1 0.139 0.500 0.233
Cl2 0.284 0.000 0.588

=====

7.
# ScCl3 PBE-GGA optimized geometry
# Energy relative to the elements, uncorrected = -858 meV per atom
# DOS at the Fermi energy = 2.619 states/eV/f.u.
data_ScCl3
_chemical_formula_sum 'Sc3 Cl9'
_symmetry_space_group_name_H-M 'R -3 m'
_symmetry_Int_Tables_number 166
_symmetry_space_group_name_Hall '-R 3 2"'
_cell_length_a 8.6477
_cell_length_b 8.6477
_cell_length_c 4.1562
_cell_angle_alpha 90.00
_cell_angle_beta 90.00
_cell_angle_gamma 120.00
loop_
_atom_site_label
_atom_site_fract_x
_atom_site_fract_y
_atom_site_fract_z
Sc1 0.0000 0.0000 0.0000
Cl1 0.0000 0.5000 0.0000

=====

8.
# Sc4Cl3 PBE-GGA optimized geometry
# Energy relative to the elements, uncorrected = -520 meV per atom
# DOS at the Fermi energy = 3.674 states/eV/f.u.
# Energy above the most stable polymorph in this dataset = 493.6 meV/atom
data_Sc4Cl3
_chemical_formula_sum 'Sc4 Cl3'
_symmetry_space_group_name_H-M 'P 6/m m m'
_symmetry_Int_Tables_number 191
_symmetry_space_group_name_Hall '-P 6 2'
_cell_length_a 5.8926
_cell_length_b 5.8926
_cell_length_c 4.9627
_cell_angle_alpha 90.00
_cell_angle_beta 90.00
_cell_angle_gamma 120.00
loop_
_atom_site_label
_atom_site_fract_x
_atom_site_fract_y
_atom_site_fract_z
Sc1 0.0000 0.0000 0.2358
Sc2 0.3333 0.6667 0.0000
Cl1 0.0000 0.5000 0.5000

=====

9.
# Sc3Cl PBE-GGA optimized geometry
# Energy relative to the elements, uncorrected = 92 meV per atom
# DOS at the Fermi energy = 5.061 states/eV/f.u.
data_Sc3Cl
_chemical_formula_sum 'Sc3 Cl1'
_symmetry_space_group_name_H-M 'P m -3 m'
_symmetry_Int_Tables_number 221
_symmetry_space_group_name_Hall '-P 4 2 3'
_cell_length_a 4.528
_cell_length_b 4.528
_cell_length_c 4.528
_cell_angle_alpha 90.00
_cell_angle_beta 90.00
_cell_angle_gamma 90.00
loop_
_atom_site_label
_atom_site_fract_x
_atom_site_fract_y
_atom_site_fract_z
Sc1 0.000 0.000 0.500
Cl1 0.500 0.500 0.500

=====

10.
# Sc5Cl3 PBE-GGA optimized geometry
# Energy relative to the elements, uncorrected = -374 meV per atom
# DOS at the Fermi energy = 12.836 states/eV/f.u.
data_Sc5Cl3
_chemical_formula_sum 'Sc10 Cl6'
_symmetry_space_group_name_H-M 'P 63/m c m'
_symmetry_Int_Tables_number 193
_symmetry_space_group_name_Hall '-P 6c 2'
_cell_length_a 7.9553
_cell_length_b 7.9553
_cell_length_c 5.7457
_cell_angle_alpha 90.00
_cell_angle_beta 90.00
_cell_angle_gamma 120.00
loop_
_atom_site_label
_atom_site_fract_x
_atom_site_fract_y
_atom_site_fract_z
Sc1 0.0000 0.2367 0.2500
Sc2 0.3333 0.6667 0.0000
Cl1 0.0000 0.4152 0.7500

=====

11.
# ScCl3 PBE-GGA optimized geometry
# Energy relative to the elements, uncorrected = -1217 meV per atom
# DOS at the Fermi energy = 1.857 states/eV/f.u.
data_ScCl3
_chemical_formula_sum 'Sc1 Cl3'
_symmetry_space_group_name_H-M 'P 4/m m m'
_symmetry_Int_Tables_number 123
_symmetry_space_group_name_Hall '-P 4 2'
_cell_length_a 3.214
_cell_length_b 3.214
_cell_length_c 8.479
_cell_angle_alpha 90.00
_cell_angle_beta 90.00
_cell_angle_gamma 90.00
loop_
_atom_site_label
_atom_site_fract_x
_atom_site_fract_y
_atom_site_fract_z
Sc1 0.000 0.000 0.000
Cl1 0.000 0.000 0.500
Cl2 0.500 0.500 0.176

=====

12.
# ScCl3 PBE-GGA optimized geometry
# Energy relative to the elements, uncorrected = -2041 meV per atom
# DOS at the Fermi energy = 0.000 states/eV/f.u.
data_ScCl3
_chemical_formula_sum 'Sc2 Cl6'
_symmetry_space_group_name_H-M 'I m m 2'
_symmetry_Int_Tables_number 44
_symmetry_space_group_name_Hall 'I 2 -2'
_cell_length_a 3.348
_cell_length_b 11.079
_cell_length_c 6.782
_cell_angle_alpha 90.00
_cell_angle_beta 90.00
_cell_angle_gamma 90.00
loop_
_atom_site_label
_atom_site_fract_x
_atom_site_fract_y
_atom_site_fract_z
Sc1 0.000 0.000 0.000
Cl1 0.000 0.353 0.639
Cl2 0.000 0.500 0.223